Compound: LaSm6Hg2
Source: the Alexandria database
Functional: GGA-PBE
Structure: relaxed

Properties
* ΔH_f (0 K): -0.207 eV per atom
* polymorph energy (0 for the lowest one): 0 meV per atom
* E_tot: -3.967 eV per atom

a = 12.9156 Å, b = 3.8139 Å, c = 12.1798 Å
α = 90.00°, β = 108.41°, γ = 90.00°
Space group C2/m (No. 12)
Asymmetric unit:
La 0.0000 0.0000 0.0000 (multiplicity 2)
Sm 0.0175 0.0000 0.3390 (multiplicity 4)
Sm 0.1879 0.5000 0.5846 (multiplicity 4)
Sm 0.1881 0.5000 0.8747 (multiplicity 4)
Hg 0.1483 0.5000 0.2138 (multiplicity 4)